Record 1
Entry from Alexandria: an optimized crystal structure of DyHg3Pd6 (GGA-PBE).

- space-group type = No. 11
- size of the total moment (μB per cell) = 0.000
- relative energy among the computed polymorphs (meV/atom) = 17.4
- volume (Å³ per atom) = 18.06
- DFT formation energy (eV per atom) = -0.376

a b c (Å): 4.7863 10.5478 10.1946
angles (deg): 135.42 90.00 90.00
Last column: nearest neighbours and their distance in Å.
Positions (direct):
Hg: 0.7500 0.5941 0.3719  8 Pd 2.84-3.03, 3 Hg 3.02-3.10, 1 Dy 3.06
Pd: 0.7500 0.7903 0.7559  5 Hg 2.84-3.03, 6 Pd 2.89-3.08, 1 Dy 3.04
Pd: 0.2500 0.0093 0.8312  4 Hg 2.77-2.93, 2 Dy 2.94, 6 Pd 2.94-3.08
Dy: 0.2500 0.9925 0.3372  10 Pd 2.87-3.04, 2 Hg 3.06-3.13
Pd: 0.7500 0.2082 0.5701  6 Pd 2.85-3.10, 3 Dy 2.87-2.97, 3 Hg 2.93-2.94
Pd: 0.2500 0.7919 0.4299  6 Pd 2.85-3.10, 3 Dy 2.87-2.97, 3 Hg 2.93-2.94
Hg: 0.2500 0.3966 0.1170  8 Pd 2.84-3.12, 4 Hg 3.02-3.13
Pd: 0.7500 0.3946 0.9650  5 Hg 2.84-3.15, 1 Dy 2.87, 6 Pd 2.92-2.99
Pd: 0.2500 0.6042 0.5359  5 Hg 2.84-3.12, 7 Pd 2.85-3.00
Hg: 0.7500 0.6034 0.8830  8 Pd 2.84-3.12, 4 Hg 3.02-3.13
Pd: 0.7500 0.9907 0.1688  4 Hg 2.77-2.93, 2 Dy 2.94, 6 Pd 2.94-3.08
Pd: 0.2500 0.2109 0.7310  3 Dy 2.87-2.95, 2 Hg 2.89-2.90, 7 Pd 2.89-3.10
Pd: 0.2500 0.2097 0.2441  5 Hg 2.84-3.03, 6 Pd 2.89-3.08, 1 Dy 3.04
Hg: 0.7500 0.1755 0.0684  7 Pd 2.77-2.93, 1 Hg 3.10
Dy: 0.7500 0.0075 0.6628  10 Pd 2.87-3.04, 2 Hg 3.06-3.13
Pd: 0.2500 0.6054 0.0350  5 Hg 2.84-3.15, 1 Dy 2.87, 6 Pd 2.92-2.99
Hg: 0.2500 0.4059 0.6281  8 Pd 2.84-3.03, 3 Hg 3.02-3.10, 1 Dy 3.06
Hg: 0.2500 0.8245 0.9316  7 Pd 2.77-2.93, 1 Hg 3.10
Pd: 0.7500 0.7891 0.2690  3 Dy 2.87-2.95, 2 Hg 2.89-2.90, 7 Pd 2.89-3.10
Pd: 0.7500 0.3958 0.4641  5 Hg 2.84-3.12, 7 Pd 2.85-3.00

---

Record 2
Entry from Alexandria: an optimized crystal structure of Dy5Hg2Pd2 (GGA-PBE).

- space-group type = No. 64
- size of the total moment (μB per cell) = 0.000
- volume (Å³ per atom) = 25.72
- DFT formation energy (eV per atom) = -0.593

a b c (Å): 7.6138 7.6634 8.8108
angles (deg): 115.78 90.00 90.00
Last column: nearest neighbours and their distance in Å.
Positions (direct):
Dy: 0.1689 0.4519 0.2533  3 Pd 2.93-3.09, 3 Hg 3.13-3.17
Pd: 0.6308 0.8705 0.0000  1 Pd 2.81, 8 Dy 2.93-3.09
Hg: 0.0000 0.7864 0.5727  7 Dy 3.13-3.39
Dy: 0.3311 0.6986 0.7467  3 Pd 2.93-3.09, 3 Hg 3.13-3.17
Dy: 0.5000 0.5000 0.0000  4 Pd 2.98-3.01
Dy: 0.1689 0.1986 0.7467  3 Pd 2.93-3.09, 3 Hg 3.13-3.17
Pd: 0.1308 0.6295 0.0000  1 Pd 2.81, 8 Dy 2.93-3.09
Pd: 0.8692 0.3705 0.0000  1 Pd 2.81, 8 Dy 2.93-3.09
Dy: 0.6689 0.0481 0.7467  3 Pd 2.93-3.09, 3 Hg 3.13-3.17
Dy: 0.8311 0.8014 0.2533  3 Pd 2.93-3.09, 3 Hg 3.13-3.17
Hg: 0.5000 0.7136 0.4273  7 Dy 3.13-3.39
Dy: 0.0000 0.0000 0.0000  4 Pd 2.98-3.01
Dy: 0.3311 0.9519 0.2533  3 Pd 2.93-3.09, 3 Hg 3.13-3.17
Dy: 0.6689 0.3014 0.2533  3 Pd 2.93-3.09, 3 Hg 3.13-3.17
Hg: 0.0000 0.2136 0.4273  7 Dy 3.13-3.39
Pd: 0.3692 0.1295 0.0000  1 Pd 2.81, 8 Dy 2.93-3.09
Dy: 0.8311 0.5481 0.7467  3 Pd 2.93-3.09, 3 Hg 3.13-3.17
Hg: 0.5000 0.2864 0.5727  7 Dy 3.13-3.39